[1]
Below is an optimized crystal structure of CeScSn, with properties calculated at the PBE level. Values from VASP.

Energy relative to the lowest polymorph listed for this composition = 137.4 meV/atom
Spin magnetization = 0.0 μB/cell
Energy of formation from the pure elements = -0.44 eV/atom
Calculated density = 6.78 g cm⁻³

```
&SYSTEM
  ibrav = 0, nat = 12, ntyp = 3
/
ATOMIC_SPECIES
Ce 140.12 Ce.upf
Sc 44.96 Sc.upf
Sn 118.71 Sn.upf
ATOMIC_POSITIONS crystal
Ce 0.090 0.250 0.067
Ce 0.410 0.750 0.567
Ce 0.590 0.250 0.433
Ce 0.910 0.750 0.933
Sc 0.124 0.250 0.404
Sc 0.376 0.750 0.904
Sc 0.624 0.250 0.096
Sc 0.876 0.750 0.596
Sn 0.139 0.250 0.726
Sn 0.361 0.750 0.226
Sn 0.639 0.250 0.774
Sn 0.861 0.750 0.274
CELL_PARAMETERS angstrom
8.155 0.000 0.000
0.000 3.704 0.000
0.000 0.000 9.851
```

***

[2]
Below is an optimized crystal structure of DyYLuTh, with properties calculated at the PBE level. Values from VASP.

Energy relative to the lowest polymorph listed for this composition = 0.0 meV/atom
Spin magnetization = 0.0 μB/cell
Energy of formation from the pure elements = 0.13 eV/atom
Calculated density = 8.62 g cm⁻³

```
&SYSTEM
  ibrav = 0, nat = 4, ntyp = 4
/
ATOMIC_SPECIES
Dy 162.50 Dy.upf
Y 88.91 Y.upf
Lu 174.97 Lu.upf
Th 232.04 Th.upf
ATOMIC_POSITIONS crystal
Dy 0.000 0.000 0.000
Y 0.750 0.750 0.750
Lu 0.250 0.250 0.250
Th 0.500 0.500 0.500
CELL_PARAMETERS angstrom
0.000 3.987 3.987
3.987 0.000 3.987
3.987 3.987 0.000
```

***

[3]
Below is an optimized crystal structure of La4SmAl, with properties calculated at the PBE level. Values from VASP.

Energy relative to the lowest polymorph listed for this composition = 53.6 meV/atom
Spin magnetization = 0.0 μB/cell
Energy of formation from the pure elements = -0.04 eV/atom
Calculated density = 6.08 g cm⁻³

```
&SYSTEM
  ibrav = 0, nat = 12, ntyp = 3
/
ATOMIC_SPECIES
La 138.91 La.upf
Sm 150.36 Sm.upf
Al 26.98 Al.upf
ATOMIC_POSITIONS crystal
La 0.084 0.716 0.948
La 0.165 0.390 0.623
La 0.284 0.916 0.552
La 0.390 0.165 0.123
La 0.610 0.835 0.877
La 0.716 0.084 0.448
La 0.835 0.610 0.377
La 0.916 0.284 0.052
Sm 0.412 0.588 0.250
Sm 0.588 0.412 0.750
Al 0.001 0.999 0.250
Al 0.999 0.001 0.750
CELL_PARAMETERS angstrom
4.607 -7.039 0.000
4.607 7.039 0.000
-2.129 0.000 6.172
```

***

[4]
Below is an optimized crystal structure of Rb3Zr3NpSe8, with properties calculated at the PBE level. Values from VASP.

Uncorrected formation energy = -1324 meV per atom
Spin magnetization = 4.4 μB/cell
Calculated density = 5.22 g cm⁻³

```
&SYSTEM
  ibrav = 0, nat = 15, ntyp = 4
/
ATOMIC_SPECIES
Rb 85.47 Rb.upf
Zr 91.22 Zr.upf
Np 237.00 Np.upf
Se 78.96 Se.upf
ATOMIC_POSITIONS crystal
Rb 0.000 0.000 0.000
Rb 0.000 0.500 0.000
Rb 0.500 0.000 0.000
Zr 0.000 0.500 0.500
Zr 0.500 0.000 0.500
Zr 0.500 0.500 0.500
Np 0.000 0.000 0.500
Se 0.239 0.239 0.695
Se 0.239 0.716 0.695
Se 0.269 0.269 0.307
Se 0.284 0.761 0.305
Se 0.716 0.239 0.695
Se 0.731 0.731 0.693
Se 0.761 0.284 0.305
Se 0.761 0.761 0.305
CELL_PARAMETERS angstrom
6.846 -3.956 0.000
6.846 3.956 0.000
-4.561 0.000 8.214
```

***

[5]
Below is an optimized crystal structure of CsPmSn2, with properties calculated at the PBE level. Values from VASP.

Energy relative to the lowest polymorph listed for this composition = 0.0 meV/atom
Spin magnetization = 0.0 μB/cell
Energy of formation from the pure elements = -0.45 eV/atom
Calculated density = 5.68 g cm⁻³

```
&SYSTEM
  ibrav = 0, nat = 4, ntyp = 3
/
ATOMIC_SPECIES
Cs 132.91 Cs.upf
Pm 145.00 Pm.upf
Sn 118.71 Sn.upf
ATOMIC_POSITIONS crystal
Cs 0.000 0.000 0.000
Pm 0.000 0.000 0.500
Sn 0.500 0.500 0.328
Sn 0.500 0.500 0.672
CELL_PARAMETERS angstrom
4.220 0.000 0.000
0.000 4.220 0.000
0.000 0.000 8.455
```

***

[6]
Below is an optimized crystal structure of SrCeTaO6, with properties calculated at the PBE level. Values from VASP.

Uncorrected formation energy = -2819 meV per atom
Spin magnetization = 2.2 μB/cell
Calculated density = 5.73 g cm⁻³

```
&SYSTEM
  ibrav = 0, nat = 18, ntyp = 4
/
ATOMIC_SPECIES
Sr 87.62 Sr.upf
Ce 140.12 Ce.upf
Ta 180.95 Ta.upf
O 16.00 O.upf
ATOMIC_POSITIONS crystal
Sr 0.000 0.000 0.000
Sr 0.000 0.000 0.500
Ce 0.333 0.667 0.250
Ce 0.667 0.333 0.750
Ta 0.333 0.667 0.750
Ta 0.667 0.333 0.250
O 0.031 0.383 0.644
O 0.031 0.648 0.856
O 0.352 0.383 0.856
O 0.352 0.969 0.644
O 0.383 0.031 0.144
O 0.383 0.352 0.356
O 0.617 0.648 0.644
O 0.617 0.969 0.856
O 0.648 0.031 0.356
O 0.648 0.617 0.144
O 0.969 0.352 0.144
O 0.969 0.617 0.356
CELL_PARAMETERS angstrom
5.735 0.000 0.000
-2.867 4.967 0.000
0.000 0.000 10.278
```

***

[7]
Below is an optimized crystal structure of Zr2ScRe, with properties calculated at the PBE level. Values from VASP.

Spin magnetization = 0.0 μB/cell
Energy of formation from the pure elements = 0.13 eV/atom
Calculated density = 8.08 g cm⁻³

```
&SYSTEM
  ibrav = 0, nat = 4, ntyp = 3
/
ATOMIC_SPECIES
Zr 91.22 Zr.upf
Sc 44.96 Sc.upf
Re 186.21 Re.upf
ATOMIC_POSITIONS crystal
Zr 0.239 0.239 0.239
Zr 0.761 0.761 0.761
Sc 0.000 0.000 0.000
Re 0.500 0.500 0.500
CELL_PARAMETERS angstrom
1.604 0.926 9.535
-1.604 0.926 9.535
0.000 -1.852 9.535
```